CaY2Ta: optimized geometry, GGA-PBE.

a = 4.780 Å, b = 4.780 Å, c = 9.707 Å
α = 90.00°, β = 90.00°, γ = 90.00°
Space group I-4m2 (No. 119)
Inequivalent atoms, fractional coordinates:
Ca (0.000, 0.000, 0.000) (multiplicity 2)
Y (0.000, 0.000, 0.500) (multiplicity 2)
Y (0.000, 0.500, 0.250) (multiplicity 2)
Ta (0.000, 0.500, 0.750) (multiplicity 2)

## Properties
Energy of formation from the pure elements in eV/f.u.: 2.08
Fermi-level density of states in states/eV/f.u.: 6.4
Excess energy over the best structure of this formula in the dataset in eV/atom: 0.229